Below is a geometry-optimized NaTbAu3Se4 structure, with properties calculated at the PBE level.

Cell: 6.340 6.340 6.340 Å, 90.00 90.00 90.00°
Sites, in units of the cell vectors:
Na 0.000 0.000 0.000
Tb 0.500 0.500 0.500
Au 0.000 0.500 0.500
Au 0.500 0.000 0.500
Au 0.500 0.500 0.000
Se 0.254 0.254 0.254
Se 0.254 0.746 0.746
Se 0.746 0.254 0.746
Se 0.746 0.746 0.254

Space-group type: P-43m (215)
Total energy in Ha/atom: -0.1432
V in Å³/atom: 28.3